Entry 1:
12
Lattice="6.112 0.000 0.000 -0.016 7.063 0.000 -0.008 -0.006 8.634" Properties=species:S:1:pos:R:3 comment="Tb5Dy3Er4, relaxed, DFT PBE" ef_kj_per_mol_atoms=1.7 sg="P-1 (2)" rho_g_cm3=8.69 de_polymorph_mev_per_atom=0 pbc="T T T"
Tb 0.000 0.000 0.000
Tb 2.025 3.531 2.884
Tb 3.046 1.755 8.634
Tb 3.041 5.302 0.000
Tb 4.063 3.526 5.750
Dy -0.008 3.532 0.000
Dy 1.007 1.757 5.750
Dy 5.081 5.300 2.884
Er 1.001 5.297 5.750
Er 2.037 -0.001 2.884
Er 4.051 7.058 5.750
Er 5.087 1.760 2.884

Entry 2:
11
Lattice="4.867 -3.650 0.000 4.867 3.650 0.000 -0.526 0.000 4.499" Properties=species:S:1:pos:R:3 comment="Cd2PdF8, relaxed, DFT PBE" formation_energy_uncorrected_kj_per_mol_atoms=-168.6 sg="C2/m (12)" rho_g_cm3=5.02 pbc="T T T"
Cd 1.206 0.000 1.343
Cd 8.001 0.000 3.157
Pd 4.604 0.000 2.250
F 0.495 0.000 3.517
F 3.386 1.354 2.969
F 3.366 0.000 0.745
F 5.822 1.354 1.530
F 3.386 -1.354 2.969
F 5.842 0.000 3.754
F 5.822 -1.354 1.530
F 8.712 0.000 0.983

Entry 3:
20
Lattice="9.200 0.000 0.000 0.000 5.104 0.000 -3.594 0.000 10.853" Properties=species:S:1:pos:R:3 comment="TbIn3Hg6, relaxed, DFT PBE" ef_kj_per_mol_atoms=-12.1 sg="P2_1/m (11)" rho_g_cm3=11.12 de_polymorph_mev_per_atom=0 pbc="T T T"
Tb -0.843 1.276 4.105
Tb 6.450 3.828 6.748
In -1.143 1.276 10.710
In 0.202 3.828 8.912
In 2.175 1.276 6.298
In 3.432 3.828 4.555
In 5.405 1.276 1.941
In 6.749 3.828 0.142
Hg -2.915 3.828 9.989
Hg 0.423 3.828 2.439
Hg -0.926 1.276 7.353
Hg 0.326 3.828 5.684
Hg 2.215 1.276 3.078
Hg 3.611 3.828 1.325
Hg 1.996 1.276 9.528
Hg 3.392 3.828 7.775
Hg 5.281 1.276 5.169
Hg 6.533 3.828 3.500
Hg 5.183 1.276 8.414
Hg 8.521 1.276 0.864